! CsTlSi GGA-PBE relaxed; values from VASP
&SYSTEM
  ibrav = 0, nat = 12, ntyp = 3
/
ATOMIC_SPECIES
Cs 132.91 Cs.upf
Tl 204.38 Tl.upf
Si 28.09 Si.upf
CELL_PARAMETERS angstrom
-3.310 4.478 -7.045
-4.784 -1.361 1.382
-0.614 6.909 4.680
ATOMIC_POSITIONS angstrom
Cs -4.996 9.886 -2.734
Cs -5.473 3.576 -0.961
Cs -3.712 0.140 1.751
Cs -3.234 6.450 -0.022
Tl -4.243 6.297 -3.663
Tl -6.321 8.231 0.690
Tl -4.464 3.729 2.680
Tl -2.387 1.795 -1.673
Si -1.991 3.186 1.068
Si -5.250 6.718 2.906
Si -6.717 6.840 -2.051
Si -3.457 3.308 -3.889
! M_tot in μB/atom: 0.000
! Energy relative to the elements, uncorrected in kJ/mol of formula units: 54
! Uncorrected energy in eV per atom: -2.694
! Space-group type: Pnma (62)